[1]
The following is a PBE-GGA calculation of a relaxed Tb3ZnAu crystal, from Alexandria via LeMat-Bulk.

abc: 5.1020 19.4138 5.1032
angles: 90.00 90.00 90.00
Closest atoms and distances in Å follow each position.
Space group Cmcm (No. 63)
Unique sites:
Tb (0.0000, 0.0646, 0.2500)  2 Zn 3.09, 2 Au 3.17
Tb (0.0000, 0.2488, 0.2500)  4 Au 3.06-3.09, 4 Zn 3.14-3.17
Tb (0.0000, 0.4316, 0.2500)  2 Zn 3.05, 2 Au 3.13
Zn (0.0000, 0.1541, 0.7500)  8 Tb 3.05-3.17
Au (0.0000, 0.3387, 0.7500)  8 Tb 3.06-3.17

## Properties
**Energy above the lowest structure with this stoichiometry**: 0.000 eV per atom
**Energy relative to the elements**: -2.3 eV/f.u.

=====

[2]
The following is a PBE-GGA calculation of a relaxed K2CdRuO4 crystal, from Alexandria via LeMat-Bulk.

abc: 6.1939 6.1939 7.2642
angles: 90.00 90.00 90.00
Closest atoms and distances in Å follow each position.
Space group I-4 (No. 82)
Unique sites:
K (0.0000, 0.0000, 0.0000)  4 O 2.67
K (0.0000, 0.5000, 0.2500)  8 O 2.95
Cd (0.0000, 0.5000, 0.7500)  4 O 2.23
Ru (0.0000, 0.0000, 0.5000)  4 O 1.91
O (0.1559, 0.7468, 0.5700)  1 Ru 1.91

## Properties
**Formation energy (no corrections)**: -1.07 eV per atom

=====

[3]
The following is a PBE-GGA calculation of a relaxed La2Tb6Nd3Dy crystal, from Alexandria via LeMat-Bulk.

abc: 5.9662 7.5602 17.9890
angles: 90.00 90.00 90.00
Closest atoms and distances in Å follow each position.
Space group Immm (No. 71)
Unique sites:
La (0.0000, 0.0000, 0.1723)  8 Tb 3.56-3.66, 2 Nd 3.78
Tb (0.0000, 0.2438, 0.3413)  1 Dy 3.40, 4 Nd 3.45-3.58, 3 La 3.56, 1 Tb 3.69
Tb (0.0000, 0.2570, 0.0000)  2 Dy 3.50, 4 Nd 3.56-3.63, 2 La 3.66, 2 Tb 3.67-3.89
Nd (0.0000, 0.5000, 0.1739)  8 Tb 3.52-3.63, 2 La 3.78
Nd (0.0000, 0.5000, 0.5000)  8 Tb 3.45-3.56, 2 Dy 3.78
Dy (0.0000, 0.0000, 0.5000)  8 Tb 3.40-3.50, 2 Nd 3.78

## Properties
**Energy relative to the elements**: 1.3 eV/f.u.

=====

[4]
The following is a PBE-GGA calculation of a relaxed MoIrRh2 crystal, from Alexandria via LeMat-Bulk.

abc: 2.7561 2.7561 26.7917
angles: 90.00 90.00 120.00
Closest atoms and distances in Å follow each position.
Space group R3m (No. 160, hexagonal axes)
Unique sites:
Mo (0.0000, 0.0000, 0.0000)  3 Rh 2.72, 3 Ir 2.73, 6 Mo 2.76
Ir (0.0000, 0.0000, 0.2505)  3 Mo 2.73, 6 Ir 2.76, 3 Rh 2.76
Rh (0.0000, 0.0000, 0.4998)  9 Rh 2.76, 3 Ir 2.76
Rh (0.0000, 0.0000, 0.7489)  3 Mo 2.72, 9 Rh 2.76

## Properties
**Energy above the lowest structure with this stoichiometry**: 0.231 eV per atom
**Energy relative to the elements**: -0.2 eV/f.u.